Computed, not measured: SmErTl2Se4 after structural relaxation at the PBE-GGA level of DFT.

Cell: 7.2997 4.2131 8.1404 Å, 90.00 107.36 90.00°
Space group P2/m (No. 10)
One atom of each set of equivalent atoms:
Sm1 0.0000 0.0000 0.0000 (multiplicity 1)
Er1 0.5000 0.5000 0.0000 (multiplicity 1)
Tl1 0.0000 0.5000 0.5000 (multiplicity 1)
Tl2 0.5000 0.0000 0.5000 (multiplicity 1)
Se1 0.2422 0.5000 0.2070 (multiplicity 2)
Se2 0.2719 0.0000 0.7961 (multiplicity 2)

The raw formation energy is -1380 meV per atom.

***

Computed, not measured: Nd4CoBr2Cl after structural relaxation at the PBE-GGA level of DFT.

Cell: 7.3991 3.9833 7.8666 Å, 90.00 107.35 90.00°
Space group P2/m (No. 10)
One atom of each set of equivalent atoms:
Nd1 0.2055 0.0000 0.1996 (multiplicity 2)
Nd2 0.2417 0.5000 0.7925 (multiplicity 2)
Co1 0.0000 0.5000 0.0000 (multiplicity 1)
Br1 0.0000 0.0000 0.5000 (multiplicity 1)
Br2 0.5000 0.5000 0.5000 (multiplicity 1)
Cl1 0.5000 0.0000 0.0000 (multiplicity 1)

The raw formation energy is -995 meV per atom.

***

Computed, not measured: LiFe2Cl after structural relaxation at the PBE-GGA level of DFT.

Cell: 5.5792 5.5792 5.5792 Å, 90.00 90.00 90.00°
Space group Fm-3m (No. 225)
One atom of each set of equivalent atoms:
Li1 0.0000 0.0000 0.0000 (multiplicity 4)
Fe1 0.2500 0.2500 0.2500 (multiplicity 8)
Cl1 0.0000 0.0000 0.5000 (multiplicity 4)

The value obtained for the polymorph energy (0 for the lowest one) is 1124 meV per atom. The raw formation energy is 942 meV per atom.

***

Computed, not measured: HfMn4Pd after structural relaxation at the PBE-GGA level of DFT.

Cell: 6.8082 6.8082 6.8082 Å, 90.00 90.00 90.00°
Space group F-43m (No. 216)
One atom of each set of equivalent atoms:
Hf1 0.0000 0.0000 0.0000 (multiplicity 4)
Mn1 0.1225 0.1225 0.3775 (multiplicity 16)
Pd1 0.2500 0.2500 0.7500 (multiplicity 4)

Its energy of formation from the pure elements is -0.448 eV per formula unit.

***

Computed, not measured: Th2ScTe5 after structural relaxation at the PBE-GGA level of DFT.

Cell: 7.3593 7.3593 4.9120 Å, 90.00 90.00 90.00°
Space group P4/mmm (No. 123)
One atom of each set of equivalent atoms:
Th1 0.0000 0.5000 0.0000 (multiplicity 2)
Sc1 0.0000 0.0000 0.5000 (multiplicity 1)
Te1 0.0000 0.0000 0.0000 (multiplicity 1)
Te2 0.2733 0.2733 0.5000 (multiplicity 4)

The value obtained for the polymorph energy (0 for the lowest one) is 552 meV per atom. The raw formation energy is -533 meV per atom.

***

Computed, not measured: CePdSe2 after structural relaxation at the PBE-GGA level of DFT.

Cell: 3.7888 3.7888 25.3205 Å, 90.00 90.00 120.00°
Space group R-3m (No. 166, hexagonal axes)
One atom of each set of equivalent atoms:
Ce1 0.0000 0.0000 0.0000 (multiplicity 3)
Pd1 0.0000 0.0000 0.5000 (multiplicity 3)
Se1 0.0000 0.0000 0.1128 (multiplicity 6)

The value obtained for the polymorph energy (0 for the lowest one) is 965 meV per atom. The raw formation energy is -301 meV per atom.

***

Computed, not measured: GaHCl3 after structural relaxation at the PBE-GGA level of DFT.

Cell: 4.8141 4.8141 4.8141 Å, 90.00 90.00 90.00°
Space group Pm-3m (No. 221)
One atom of each set of equivalent atoms:
Ga1 0.0000 0.0000 0.0000 (multiplicity 1)
H1 0.5000 0.5000 0.5000 (multiplicity 1)
Cl1 0.0000 0.0000 0.5000 (multiplicity 3)

The value obtained for the polymorph energy (0 for the lowest one) is 279 meV per atom.

***

Computed, not measured: CdHg after structural relaxation at the PBE-GGA level of DFT.

Cell: 3.9449 12.7258 16.0246 Å, 90.00 90.00 90.00°
Space group Fddd (No. 70, origin choice 2)
One atom of each set of equivalent atoms:
Cd1 0.1250 0.1250 0.0286 (multiplicity 16)
Hg1 0.1250 0.2709 0.6250 (multiplicity 16)

Its energy of formation from the pure elements is 0.062 eV per formula unit.

***

Computed, not measured: Zn2NiPt4 after structural relaxation at the PBE-GGA level of DFT.

Cell: 7.3300 7.5050 3.9922 Å, 90.00 90.00 90.00°
Space group Cmmm (No. 65)
One atom of each set of equivalent atoms:
Zn1 0.0000 0.2091 0.0000 (multiplicity 4)
Ni1 0.0000 0.5000 0.5000 (multiplicity 2)
Pt1 0.2173 0.5000 0.0000 (multiplicity 4)
Pt2 0.2500 0.2500 0.5000 (multiplicity 4)

The value obtained for the polymorph energy (0 for the lowest one) is 0 meV per atom. Its energy of formation from the pure elements is -1.664 eV per formula unit.

***

Computed, not measured: SmHfZrIr2 after structural relaxation at the PBE-GGA level of DFT.

Cell: 4.5051 4.5051 11.0225 Å, 90.00 90.00 90.00°
Space group I-4m2 (No. 119)
One atom of each set of equivalent atoms:
Sm1 0.0000 0.0000 0.0000 (multiplicity 2)
Hf1 0.0000 0.5000 0.2500 (multiplicity 2)
Zr1 0.0000 0.5000 0.7500 (multiplicity 2)
Ir1 0.0000 0.0000 0.3830 (multiplicity 4)

Its energy of formation from the pure elements is -3.925 eV per formula unit.

***

Computed, not measured: BeOs2Rh2 after structural relaxation at the PBE-GGA level of DFT.

Cell: 7.4696 7.4696 2.7008 Å, 90.00 90.00 90.00°
Space group P4/mbm (No. 127)
One atom of each set of equivalent atoms:
Be1 0.0000 0.0000 0.0000 (multiplicity 2)
Os1 0.1753 0.3247 0.5000 (multiplicity 4)
Rh1 0.1229 0.6229 0.0000 (multiplicity 4)

The value obtained for the polymorph energy (0 for the lowest one) is 4 meV per atom. Its energy of formation from the pure elements is 3.121 eV per formula unit.

***

Computed, not measured: TbPrTlGe after structural relaxation at the PBE-GGA level of DFT.

Cell: 7.5347 7.5347 7.5347 Å, 90.00 90.00 90.00°
Space group F-43m (No. 216)
One atom of each set of equivalent atoms:
Tb1 0.0000 0.0000 0.0000 (multiplicity 4)
Pr1 0.0000 0.0000 0.5000 (multiplicity 4)
Tl1 0.2500 0.2500 0.7500 (multiplicity 4)
Ge1 0.2500 0.2500 0.2500 (multiplicity 4)

Its energy of formation from the pure elements is -1.759 eV per formula unit.

***

Computed, not measured: BaScAsH2 after structural relaxation at the PBE-GGA level of DFT.

Cell: 4.0075 12.6374 7.4343 Å, 90.00 90.00 90.00°
Space group Cmcm (No. 63)
One atom of each set of equivalent atoms:
Ba1 0.0000 0.2295 0.2500 (multiplicity 4)
Sc1 0.0000 0.5000 0.0000 (multiplicity 4)
As1 0.0000 0.0425 0.7500 (multiplicity 4)
H1 0.0000 0.3420 0.5545 (multiplicity 8)

For the total energy, the calculation gives -96.33 eV/cell.

***

Computed, not measured: ZnAgGe2S6 after structural relaxation at the PBE-GGA level of DFT.

Cell: 12.6429 11.8534 6.5274 Å, 90.00 111.72 90.00°
Space group C2/c (No. 15)
One atom of each set of equivalent atoms:
Zn1 0.0000 0.2223 0.2500 (multiplicity 4)
Ag1 0.0000 0.1179 0.7500 (multiplicity 4)
Ge1 0.1970 0.4180 0.7294 (multiplicity 8)
S1 0.1106 0.0727 0.1416 (multiplicity 8)
S2 0.1274 0.4341 0.0018 (multiplicity 8)
S3 0.1337 0.2461 0.6005 (multiplicity 8)

The raw formation energy is -227 meV per atom.

***

Computed, not measured: RePt3 after structural relaxation at the PBE-GGA level of DFT.

Cell: 2.7822 3.9552 5.5789 Å, 90.00 90.00 90.00°
Space group Pmmm (No. 47)
One atom of each set of equivalent atoms:
Re1 0.0000 0.0000 0.0000 (multiplicity 1)
Pt1 0.0000 0.0000 0.5000 (multiplicity 1)
Pt2 0.5000 0.5000 0.2399 (multiplicity 2)

Its energy of formation from the pure elements is -0.313 eV per formula unit.

***

Computed, not measured: LaPrCuNi after structural relaxation at the PBE-GGA level of DFT.

Cell: 4.4725 3.8856 10.9574 Å, 90.00 90.00 90.00°
Space group Amm2 (No. 38)
One atom of each set of equivalent atoms:
La1 0.0000 0.0000 0.0000 (multiplicity 2)
Pr1 0.5000 0.0000 0.7250 (multiplicity 2)
Cu1 0.0000 0.0000 0.2944 (multiplicity 2)
Ni1 0.5000 0.0000 0.4266 (multiplicity 2)

The value obtained for the polymorph energy (0 for the lowest one) is 0 meV per atom. Its energy of formation from the pure elements is -0.950 eV per formula unit.

***

Computed, not measured: LaCo2As after structural relaxation at the PBE-GGA level of DFT.

Cell: 4.0503 4.0503 15.5148 Å, 90.00 90.00 120.00°
Space group R3m (No. 160, hexagonal axes)
One atom of each set of equivalent atoms:
La1 0.0000 0.0000 0.0000 (multiplicity 3)
Co1 0.0000 0.0000 0.1989 (multiplicity 3)
Co2 0.0000 0.0000 0.5154 (multiplicity 3)
As1 0.0000 0.0000 0.7995 (multiplicity 3)

Its energy of formation from the pure elements is -1.994 eV per formula unit.

***

Computed, not measured: Li2TaSb after structural relaxation at the PBE-GGA level of DFT.

Cell: 3.0039 3.0039 29.7655 Å, 90.00 90.00 120.00°
Space group R-3m (No. 166, hexagonal axes)
One atom of each set of equivalent atoms:
Li1 0.0000 0.0000 0.2480 (multiplicity 6)
Ta1 0.0000 0.0000 0.0000 (multiplicity 3)
Sb1 0.0000 0.0000 0.5000 (multiplicity 3)

The raw formation energy is 240 meV per atom.

***

Computed, not measured: Cd2CuRe after structural relaxation at the PBE-GGA level of DFT.

Cell: 2.7561 4.2754 5.7542 Å, 90.00 90.00 90.00°
Space group Pmmm (No. 47)
One atom of each set of equivalent atoms:
Cd1 0.0000 0.0000 0.2478 (multiplicity 2)
Cu1 0.5000 0.5000 0.0000 (multiplicity 1)
Re1 0.5000 0.5000 0.5000 (multiplicity 1)

The value obtained for the polymorph energy (0 for the lowest one) is 164 meV per atom. Its energy of formation from the pure elements is 2.224 eV per formula unit.

***

Computed, not measured: La2MgGe4 after structural relaxation at the PBE-GGA level of DFT.

Cell: 4.9203 4.9203 15.2608 Å, 90.00 90.00 90.00°
Space group I4/mmm (No. 139)
One atom of each set of equivalent atoms:
La1 0.0000 0.0000 0.1337 (multiplicity 4)
Mg1 0.0000 0.0000 0.5000 (multiplicity 2)
Ge1 0.0000 0.0000 0.3313 (multiplicity 4)
Ge2 0.0000 0.5000 0.0000 (multiplicity 4)

Its energy of formation from the pure elements is -1.513 eV per formula unit.